Entry from Alexandria: an optimized crystal structure of La8MgCd2 (PBE).

It has space group C2/m (No. 12), with a = 16.999 Å, b = 5.689 Å, c = 9.042 Å, α = 90.00°, β = 121.57° and γ = 90.00°. Symmetry generates all atoms from La at (0.072, 0.000, 0.227), La at (0.092, 0.500, 0.953), La at (0.139, 0.000, 0.694), La at (0.182, 0.500, 0.450), Mg at (0.000, 0.500, 0.500) and Cd at (0.232, 0.000, 0.123).

As for the energy relative to the elements: -123 meV/atom. The crystal system is monoclinic. The volume is 33.86 A^3/atom.